[1]
The following is a PBE calculation of a relaxed Y2SiPt crystal, from the Alexandria database.

Computed properties:
- Crystal system: tetragonal
- Raw formation energy: -0.54 eV/atom
- ρ: 7.38 g cm⁻³
- Magnetization: 0.00 μB per formula unit
- Electronic total energy: -6.64 eV per atom
- Fermi-level density of states: 3.30 states/eV/f.u.

The structure in CIF format:
```
data_Y2SiPt
_space_group_name_H-M_alt 'P 4 m m'
_space_group_IT_number 99
_space_group_name_Hall 'P 4 -2'
_cell_length_a 3.3483
_cell_length_b 3.3483
_cell_length_c 8.0509
_cell_angle_alpha 90.00
_cell_angle_beta 90.00
_cell_angle_gamma 90.00
loop_
_atom_site_label
_atom_site_type_symbol
_atom_site_fract_x
_atom_site_fract_y
_atom_site_fract_z
Y1 Y 0.0000 0.0000 0.0000
Y2 Y 0.5000 0.5000 0.3759
Si1 Si 0.5000 0.5000 0.7563
Pt1 Pt 0.0000 0.0000 0.6197
```


[2]
The following is a PBE calculation of a relaxed ScInCl2 crystal, from the Alexandria database.

Computed properties:
- Crystal system: tetragonal
- Raw formation energy: -0.62 eV/atom
- ρ: 4.03 g cm⁻³
- Magnetization: 1.84 μB per formula unit
- Electronic total energy: -3.81 eV per atom
- Fermi-level density of states: 1.85 states/eV/f.u.

The structure in CIF format:
```
data_ScInCl2
_space_group_name_H-M_alt 'P 4/m m m'
_space_group_IT_number 123
_space_group_name_Hall '-P 4 2'
_cell_length_a 5.0569
_cell_length_b 5.0569
_cell_length_c 3.7213
_cell_angle_alpha 90.00
_cell_angle_beta 90.00
_cell_angle_gamma 90.00
loop_
_atom_site_label
_atom_site_type_symbol
_atom_site_fract_x
_atom_site_fract_y
_atom_site_fract_z
Sc1 Sc 0.0000 0.0000 0.0000
In1 In 0.5000 0.5000 0.0000
Cl1 Cl 0.0000 0.5000 0.5000
```


[3]
The following is a PBE calculation of a relaxed Mg5Cu3 crystal, from the Alexandria database.

Computed properties:
- Crystal system: orthorhombic
- ρ: 3.78 g cm⁻³
- Magnetization: 0.00 μB per formula unit
- Electronic total energy: -2.57 eV per atom
- Energy of formation from the pure elements: -34.5 meV/atom
- Fermi-level density of states: 3.69 states/eV/f.u.

The structure in CIF format:
```
data_Mg5Cu3
_space_group_name_H-M_alt 'C m m m'
_space_group_IT_number 65
_space_group_name_Hall '-C 2 2'
_cell_length_a 6.9038
_cell_length_b 9.0159
_cell_length_c 4.4108
_cell_angle_alpha 90.00
_cell_angle_beta 90.00
_cell_angle_gamma 90.00
loop_
_atom_site_label
_atom_site_type_symbol
_atom_site_fract_x
_atom_site_fract_y
_atom_site_fract_z
Mg1 Mg 0.0000 0.0000 0.0000
Mg2 Mg 0.2192 0.5000 0.5000
Mg3 Mg 0.2500 0.2500 0.0000
Cu1 Cu 0.0000 0.2301 0.5000
Cu2 Cu 0.0000 0.5000 0.0000
```


[4]
The following is a PBE calculation of a relaxed PmDy7Ho5 crystal, from the Alexandria database.

Computed properties:
- Crystal system: orthorhombic
- ρ: 8.21 g cm⁻³
- Magnetization: 0.00 μB per formula unit
- Electronic total energy: -4.35 eV per atom
- Energy of formation from the pure elements: 250.0 meV/atom
- Fermi-level density of states: 24.03 states/eV/f.u.

The structure in CIF format:
```
data_PmDy7Ho5
_space_group_name_H-M_alt 'I m m 2'
_space_group_IT_number 44
_space_group_name_Hall 'I 2 -2'
_cell_length_a 6.6682
_cell_length_b 11.0783
_cell_length_c 11.5317
_cell_angle_alpha 90.00
_cell_angle_beta 90.00
_cell_angle_gamma 90.00
loop_
_atom_site_label
_atom_site_type_symbol
_atom_site_fract_x
_atom_site_fract_y
_atom_site_fract_z
Pm1 Pm 0.0000 0.0000 0.0000
Dy1 Dy 0.0000 0.0000 0.3043
Dy2 Dy 0.0000 0.0000 0.6098
Dy3 Dy 0.0000 0.3294 0.0525
Dy4 Dy 0.0000 0.3296 0.5520
Dy5 Dy 0.0000 0.5000 0.8033
Ho1 Ho 0.0000 0.5000 0.3003
Ho2 Ho 0.2336 0.2291 0.8018
```


[5]
The following is a PBE calculation of a relaxed La3PbO crystal, from the Alexandria database.

Computed properties:
- Crystal system: monoclinic
- Raw formation energy: -1.37 eV/atom
- ρ: 7.55 g cm⁻³
- Magnetization: 0.00 μB per formula unit
- Electronic total energy: -6.06 eV per atom
- Fermi-level density of states: 4.91 states/eV/f.u.

The structure in CIF format:
```
data_La3PbO
_space_group_name_H-M_alt 'P 1 21 1'
_space_group_IT_number 4
_space_group_name_Hall 'P 2yb'
_cell_length_a 6.7180
_cell_length_b 6.0846
_cell_length_c 6.8853
_cell_angle_alpha 90.00
_cell_angle_beta 90.25
_cell_angle_gamma 90.00
loop_
_atom_site_label
_atom_site_type_symbol
_atom_site_fract_x
_atom_site_fract_y
_atom_site_fract_z
La1 La 0.1178 0.0000 0.2494
La2 La 0.3787 0.4918 0.5006
La3 La 0.3810 0.4935 0.0015
Pb1 Pb 0.1431 0.9931 0.7499
O1 O 0.4099 0.7863 0.2510
```


[6]
The following is a PBE calculation of a relaxed Mn2CoN2 crystal, from the Alexandria database.

Computed properties:
- Crystal system: tetragonal
- Raw formation energy: -0.18 eV/atom
- ρ: 6.97 g cm⁻³
- Magnetization: 6.49 μB per formula unit
- Electronic total energy: -8.59 eV per atom
- Fermi-level density of states: 3.10 states/eV/f.u.

The structure in CIF format:
```
data_Mn2CoN2
_space_group_name_H-M_alt 'I 4/m m m'
_space_group_IT_number 139
_space_group_name_Hall '-I 4 2'
_cell_length_a 2.8559
_cell_length_b 2.8559
_cell_length_c 11.4959
_cell_angle_alpha 90.00
_cell_angle_beta 90.00
_cell_angle_gamma 90.00
loop_
_atom_site_label
_atom_site_type_symbol
_atom_site_fract_x
_atom_site_fract_y
_atom_site_fract_z
Mn1 Mn 0.0000 0.0000 0.1522
Co1 Co 0.0000 0.0000 0.5000
N1 N 0.0000 0.0000 0.3369
```


Q: What is the ρ in the fifth record?
A: 7.55 g cm⁻³